Record 1
# PrSb2Au SCAN PBEsol geometry
# Volume = 24.7 Å³ per atom
# Uncorrected formation energy = -0.82 eV per atom
# Total moment = 0.00 Bohr magnetons per cell
data_PrSb2Au
_chemical_formula_sum 'Pr2 Sb4 Au2'
_cell_length_a 4.400
_cell_length_b 4.400
_cell_length_c 10.216
_cell_angle_alpha 90.00
_cell_angle_beta 90.00
_cell_angle_gamma 90.00
_symmetry_space_group_name_H-M 'P 4/n m m'
_symmetry_Int_Tables_number 129
loop_
_symmetry_equiv_pos_as_xyz
'x,y,z'
'-x,-y,-z'
'-y+1/2,x,z'
'y+1/2,-x,-z'
'-x+1/2,-y+1/2,z'
'x+1/2,y+1/2,-z'
'y,-x+1/2,z'
'-y,x+1/2,-z'
'x+1/2,-y,-z'
'-x+1/2,y,z'
'-y,-x,-z'
'y,x,z'
'-x,y+1/2,-z'
'x,-y+1/2,z'
'y+1/2,x+1/2,-z'
'-y+1/2,-x+1/2,z'
loop_
_atom_site_label
_atom_site_fract_x
_atom_site_fract_y
_atom_site_fract_z
_atom_site_occupancy
Pr1 0.250 0.250 0.247 1
Sb1 0.250 0.250 0.676 1
Sb2 0.250 0.750 0.000 1
Au1 0.250 0.750 0.500 1

---

Record 2
# PrSi2Au2 SCAN PBEsol geometry
# Volume = 18.7 Å³ per atom
# Uncorrected formation energy = -0.76 eV per atom
# Total moment = 0.00 Bohr magnetons per cell
data_PrSi2Au2
_chemical_formula_sum 'Pr2 Si4 Au4'
_cell_length_a 4.285
_cell_length_b 4.285
_cell_length_c 10.173
_cell_angle_alpha 90.00
_cell_angle_beta 90.00
_cell_angle_gamma 90.00
_symmetry_space_group_name_H-M 'I 4/m m m'
_symmetry_Int_Tables_number 139
_symmetry_space_group_name_Hall '-I 4 2'
loop_
_atom_site_label
_atom_site_fract_x
_atom_site_fract_y
_atom_site_fract_z
_atom_site_occupancy
Pr1 0.000 0.000 0.000 1
Si1 0.000 0.000 0.385 1
Au1 0.000 0.500 0.250 1

---

Record 3
# Pr5Sn3Au SCAN PBEsol geometry
# Volume = 29.0 Å³ per atom
# Total moment = 3.51 Bohr magnetons per cell
# ΔH_f (0 K) = -0.89 eV per atom
data_Pr5Sn3Au
_chemical_formula_sum 'Pr10 Sn6 Au2'
_cell_length_a 9.4836
_cell_length_b 9.4836
_cell_length_c 6.7110
_cell_angle_alpha 90.00
_cell_angle_beta 90.00
_cell_angle_gamma 120.00
_symmetry_space_group_name_H-M 'P 63/m c m'
_symmetry_Int_Tables_number 193
_symmetry_space_group_name_Hall '-P 6c 2'
loop_
_atom_site_label
_atom_site_fract_x
_atom_site_fract_y
_atom_site_fract_z
_atom_site_occupancy
Pr1 0.0000 0.2689 0.2500 1
Pr2 0.3333 0.6667 0.0000 1
Sn1 0.0000 0.3824 0.7500 1
Au1 0.0000 0.0000 0.0000 1

---

Record 4
# Pr3Sn5Au6 SCAN PBEsol geometry
# Volume = 22.5 Å³ per atom
# Total moment = 0.00 Bohr magnetons per cell
# ΔH_f (0 K) = -0.75 eV per atom
data_Pr3Sn5Au6
_chemical_formula_sum 'Pr6 Sn10 Au12'
_cell_length_a 4.515
_cell_length_b 13.423
_cell_length_c 10.377
_cell_angle_alpha 90.00
_cell_angle_beta 90.00
_cell_angle_gamma 90.00
_symmetry_space_group_name_H-M 'P m m n'
_symmetry_Int_Tables_number 59
loop_
_symmetry_equiv_pos_as_xyz
'x,y,z'
'-x,-y,-z'
'-x+1/2,-y+1/2,z'
'x+1/2,y+1/2,-z'
'x+1/2,-y,-z'
'-x+1/2,y,z'
'-x,y+1/2,-z'
'x,-y+1/2,z'
loop_
_atom_site_label
_atom_site_fract_x
_atom_site_fract_y
_atom_site_fract_z
_atom_site_occupancy
Pr1 0.250 0.068 0.246 1
Pr2 0.250 0.750 0.244 1
Sn1 0.250 0.085 0.878 1
Sn2 0.250 0.610 0.523 1
Sn3 0.250 0.750 0.773 1
Au1 0.250 0.086 0.623 1
Au2 0.250 0.250 0.036 1
Au3 0.250 0.250 0.449 1
Au4 0.250 0.608 0.976 1

---

Record 5
# PrSnAu2 SCAN PBEsol geometry
# Volume = 22.1 Å³ per atom
# Total moment = 0.00 Bohr magnetons per cell
# ΔH_f (0 K) = -0.79 eV per atom
data_PrSnAu2
_chemical_formula_sum 'Pr4 Sn4 Au8'
_cell_length_a 7.070
_cell_length_b 7.070
_cell_length_c 7.070
_cell_angle_alpha 90.00
_cell_angle_beta 90.00
_cell_angle_gamma 90.00
_symmetry_space_group_name_H-M 'F m -3 m'
_symmetry_Int_Tables_number 225
_symmetry_space_group_name_Hall '-F 4 2 3'
loop_
_atom_site_label
_atom_site_fract_x
_atom_site_fract_y
_atom_site_fract_z
_atom_site_occupancy
Pr1 0.000 0.000 0.000 1
Sn1 0.000 0.000 0.500 1
Au1 0.250 0.250 0.250 1

---

Record 6
# Pt7Au SCAN PBEsol geometry
# Volume = 15.2 Å³ per atom
# Total moment = 0.00 Bohr magnetons per cell
# ΔH_f (0 K) = 0.07 eV per atom
data_Pt7Au
_chemical_formula_sum 'Pt28 Au4'
_cell_length_a 7.867
_cell_length_b 7.867
_cell_length_c 7.867
_cell_angle_alpha 90.00
_cell_angle_beta 90.00
_cell_angle_gamma 90.00
_symmetry_space_group_name_H-M 'F m -3 m'
_symmetry_Int_Tables_number 225
_symmetry_space_group_name_Hall '-F 4 2 3'
loop_
_atom_site_label
_atom_site_fract_x
_atom_site_fract_y
_atom_site_fract_z
_atom_site_occupancy
Pt1 0.000 0.000 0.000 1
Pt2 0.000 0.250 0.250 1
Au1 0.000 0.000 0.500 1